First-principles (GGA-PBE) data for a geometry-optimized Nd3Al4Pd2 structure, as listed in Alexandria via LeMat-Bulk.

Properties
DFT total energy: -5.037 eV per atom
theoretical density: 6.048 g cm⁻³

Cell lengths 10.879, 4.414, 9.069 Å; angles 90.00, 108.18, 90.00 degrees
Space group C2/m (No. 12)
Symmetry-distinct sites (fractional):
Nd: 0.000 0.000 0.000 x2
Nd: 0.110 0.500 0.695 x4
Al: 0.136 0.000 0.434 x4
Al: 0.225 0.500 0.066 x4
Pd: 0.165 0.500 0.313 x4